1.
The following is a DFT calculation (PBE-GGA) of a geometry-optimized ScBe4Cu8 structure.

E, eV/atom: -4.074
Crystal system: tetragonal

a b c (Å): 6.1222 6.1222 6.1222
angles (deg): 97.85 97.85 136.61
With the nearest neighbours (Å) after each atom.
Sites, in units of the cell vectors:
1 Cu 0.5000 0.7189 0.2189  4 Be 2.32, 6 Cu 2.49-2.58
2 Cu 0.7189 0.5000 0.2189  4 Be 2.32, 6 Cu 2.49-2.58
3 Cu 0.6532 0.0000 0.6532  4 Be 2.44, 5 Cu 2.47-2.58
4 Cu 0.0000 0.6532 0.6532  4 Be 2.44, 5 Cu 2.47-2.58
5 Cu 0.5000 0.2811 0.7811  4 Be 2.32, 6 Cu 2.49-2.58
6 Cu 0.0000 0.3468 0.3468  4 Be 2.44, 5 Cu 2.47-2.58
7 Cu 0.3468 0.0000 0.3468  4 Be 2.44, 5 Cu 2.47-2.58
8 Cu 0.2811 0.5000 0.7811  4 Be 2.32, 6 Cu 2.49-2.58
9 Be 0.5000 0.0000 0.0000  2 Be 2.26, 8 Cu 2.32-2.44
10 Be 0.0000 0.5000 0.0000  2 Be 2.26, 8 Cu 2.32-2.44
11 Be 0.0000 0.0000 0.5000  2 Be 2.26, 8 Cu 2.32-2.44
12 Be 0.5000 0.5000 0.5000  2 Be 2.26, 8 Cu 2.32-2.44
13 Sc 0.0000 0.0000 0.0000  12 Cu 2.79-2.87, 8 Be 3.06

2.
The following is a DFT calculation (PBE-GGA) of a geometry-optimized LiIn2CuS4 structure.

E, eV/atom: -4.163
Crystal system: tetragonal

a b c (Å): 6.9075 6.9075 6.9075
angles (deg): 132.02 132.02 70.20
With the nearest neighbours (Å) after each atom.
Sites, in units of the cell vectors:
1 In 0.5000 0.5000 0.0000  4 S 2.50
2 In 0.7500 0.2500 0.5000  4 S 2.50
3 S 0.1203 0.1095 0.4725  1 Cu 2.32, 1 Li 2.43, 2 In 2.50
4 S 0.3522 0.8797 0.9892  1 Cu 2.32, 1 Li 2.43, 2 In 2.50
5 S 0.8905 0.3630 0.0108  1 Cu 2.32, 1 Li 2.43, 2 In 2.50
6 S 0.6370 0.6478 0.5275  1 Cu 2.32, 1 Li 2.43, 2 In 2.50
7 Li 0.2500 0.7500 0.5000  4 S 2.43
8 Cu 0.0000 0.0000 0.0000  4 S 2.32

3.
The following is a DFT calculation (PBE-GGA) of a geometry-optimized ReW2 structure.

E_form, eV/atom: 0.43
Crystal system: hexagonal

a b c (Å): 5.1962 5.1962 16.7891
angles (deg): 90.00 90.00 120.00
With the nearest neighbours (Å) after each atom.
Sites, in units of the cell vectors:
1 W 0.3257 0.1628 0.7500  4 W 2.54-2.66, 2 Re 2.59
2 W 0.3333 0.6667 0.6529  10 W 2.97-3.26, 6 Re 3.03-3.16
3 W 0.1628 0.3257 0.2500  4 W 2.54-2.66, 2 Re 2.59
4 W 0.5000 0.0000 0.0000  2 Re 2.59, 4 W 2.60
5 W 0.6743 0.8372 0.2500  4 W 2.54-2.66, 2 Re 2.59
6 W 0.8372 0.1628 0.7500  4 W 2.54-2.66, 2 Re 2.59
7 W 0.5000 0.5000 0.0000  2 Re 2.59, 4 W 2.60
8 W 0.6667 0.3333 0.1529  10 W 2.97-3.26, 6 Re 3.03-3.16
9 W 0.0000 0.5000 0.0000  2 Re 2.59, 4 W 2.60
10 W 0.5000 0.0000 0.5000  2 Re 2.59, 4 W 2.60
11 W 0.8372 0.6743 0.7500  4 W 2.54-2.66, 2 Re 2.59
12 W 0.6667 0.3333 0.3471  10 W 2.97-3.26, 6 Re 3.03-3.16
13 W 0.0000 0.5000 0.5000  2 Re 2.59, 4 W 2.60
14 W 0.5000 0.5000 0.5000  2 Re 2.59, 4 W 2.60
15 W 0.1628 0.8372 0.2500  4 W 2.54-2.66, 2 Re 2.59
16 W 0.3333 0.6667 0.8471  10 W 2.97-3.26, 6 Re 3.03-3.16
17 Re 0.6667 0.3333 0.6260  6 W 2.59
18 Re 0.0000 0.0000 0.9053  12 W 2.99-3.16, 4 Re 3.05-3.18
19 Re 0.0000 0.0000 0.5947  12 W 2.99-3.16, 4 Re 3.05-3.18
20 Re 0.6667 0.3333 0.8740  6 W 2.59
21 Re 0.0000 0.0000 0.0947  12 W 2.99-3.16, 4 Re 3.05-3.18
22 Re 0.3333 0.6667 0.1260  6 W 2.59
23 Re 0.3333 0.6667 0.3740  6 W 2.59
24 Re 0.0000 0.0000 0.4053  12 W 2.99-3.16, 4 Re 3.05-3.18

4.
The following is a DFT calculation (PBE-GGA) of a geometry-optimized NdPdPb structure.

E, eV/atom: -5.243
Crystal system: orthorhombic

a b c (Å): 7.4982 4.8251 8.1787
angles (deg): 90.00 90.00 90.00
With the nearest neighbours (Å) after each atom.
Sites, in units of the cell vectors:
1 Nd 0.4887 0.7500 0.2066  6 Pd 3.15-3.48, 6 Pb 3.31-3.42
2 Nd 0.9887 0.7500 0.2934  6 Pd 3.15-3.48, 6 Pb 3.31-3.42
3 Nd 0.0113 0.2500 0.7066  6 Pd 3.15-3.48, 6 Pb 3.31-3.42
4 Nd 0.5113 0.2500 0.7934  6 Pd 3.15-3.48, 6 Pb 3.31-3.42
5 Pb 0.8078 0.7500 0.9119  4 Pd 2.78-3.01
6 Pb 0.3078 0.7500 0.5881  4 Pd 2.78-3.01
7 Pb 0.1922 0.2500 0.0881  4 Pd 2.78-3.01
8 Pb 0.6922 0.2500 0.4119  4 Pd 2.78-3.01
9 Pd 0.7098 0.7500 0.5809  4 Pb 2.78-3.01
10 Pd 0.2098 0.7500 0.9191  4 Pb 2.78-3.01
11 Pd 0.2902 0.2500 0.4191  4 Pb 2.78-3.01
12 Pd 0.7902 0.2500 0.0809  4 Pb 2.78-3.01

5.
The following is a DFT calculation (PBE-GGA) of a geometry-optimized Ho4Co3Ni structure.

E_form, eV/atom: -0.28
Crystal system: monoclinic

a b c (Å): 5.5406 3.8713 7.2688
angles (deg): 90.00 90.26 90.00
With the nearest neighbours (Å) after each atom.
Sites, in units of the cell vectors:
1 Ni 0.6197 0.0000 0.4659  2 Co 2.39
2 Ho 0.6227 0.5000 0.1761  2 Ni 2.86, 5 Co 2.87-3.04
3 Ho 0.1259 0.0000 0.3241  5 Co 2.83-2.88, 2 Ni 2.92-2.99
4 Ho 0.3743 0.0000 0.8189  6 Co 2.85-3.08, 1 Ni 2.91
5 Ho 0.8753 0.5000 0.6801  5 Co 2.85-3.01, 2 Ni 2.86
6 Co 0.1063 0.5000 0.0308  2 Co 2.30
7 Co 0.3819 0.5000 0.5315  2 Ni 2.39
8 Co 0.8938 0.0000 0.9726  2 Co 2.30

6.
The following is a DFT calculation (PBE-GGA) of a geometry-optimized UTe3 structure.

E, eV/atom: -5.695
Crystal system: orthorhombic

a b c (Å): 4.3843 13.0135 13.0135
angles (deg): 160.63 90.00 90.00
With the nearest neighbours (Å) after each atom.
Sites, in units of the cell vectors:
1 U 0.7500 0.7510 0.0890  9 Te 3.23-3.25
2 U 0.2500 0.0890 0.7510  9 Te 3.23-3.25
3 Te 0.2500 0.8437 0.9960  4 Te 3.10, 2 U 3.24
4 Te 0.7500 0.6245 0.2156  5 U 3.23-3.25
5 Te 0.2500 0.2156 0.6245  5 U 3.23-3.25
6 Te 0.7500 0.9960 0.8437  4 Te 3.10, 2 U 3.24
7 Te 0.7500 0.3436 0.4961  4 Te 3.10, 2 U 3.23
8 Te 0.2500 0.4961 0.3436  4 Te 3.10, 2 U 3.23

What did the fifth record say?
The following is a DFT calculation (PBE-GGA) of a geometry-optimized Ho4Co3Ni structure.

E_form, eV/atom: -0.28
Crystal system: monoclinic

a b c (Å): 5.5406 3.8713 7.2688
angles (deg): 90.00 90.26 90.00
With the nearest neighbours (Å) after each atom.
Sites, in units of the cell vectors:
1 Ni 0.6197 0.0000 0.4659  2 Co 2.39
2 Ho 0.6227 0.5000 0.1761  2 Ni 2.86, 5 Co 2.87-3.04
3 Ho 0.1259 0.0000 0.3241  5 Co 2.83-2.88, 2 Ni 2.92-2.99
4 Ho 0.3743 0.0000 0.8189  6 Co 2.85-3.08, 1 Ni 2.91
5 Ho 0.8753 0.5000 0.6801  5 Co 2.85-3.01, 2 Ni 2.86
6 Co 0.1063 0.5000 0.0308  2 Co 2.30
7 Co 0.3819 0.5000 0.5315  2 Ni 2.39
8 Co 0.8938 0.0000 0.9726  2 Co 2.30